# Rb2TcSCl6 PBE-GGA optimized geometry
# final energy: -72.86 eV/cell
# size of the total moment: 0.3000 μB per atom
# N(E_F): 0.0743 states/eV/atom
# energy relative to the elements, uncorrected: -0.892 eV/atom
data_Rb2TcSCl6
_symmetry_space_group_name_H-M 'I 4/m m m'
_symmetry_Int_Tables_number 139
_symmetry_space_group_name_Hall '-I 4 2'
_cell_length_a 8.084
_cell_length_b 8.084
_cell_length_c 9.094
_cell_angle_alpha 90.00
_cell_angle_beta 90.00
_cell_angle_gamma 90.00
loop_
_atom_site_label
_atom_site_type_symbol
_atom_site_fract_x
_atom_site_fract_y
_atom_site_fract_z
_atom_site_occupancy
Rb1 Rb 0.000 0.500 0.250 1
Tc1 Tc 0.000 0.000 0.000 1
S1 S 0.000 0.000 0.500 1
Cl1 Cl 0.000 0.000 0.256 1
Cl2 Cl 0.210 0.210 0.000 1

***

# SbTe PBE-GGA optimized geometry
# final energy: -57.60 eV/cell
# size of the total moment: 0.0000 μB per atom
# N(E_F): 0.3833 states/eV/atom
# energy relative to the elements, uncorrected: 0.032 eV/atom
# energy relative to the lowest polymorph listed for this composition: 137 meV/atom
data_SbTe
_symmetry_space_group_name_H-M 'I 4/m'
_symmetry_Int_Tables_number 87
_symmetry_space_group_name_Hall '-I 4'
_cell_length_a 9.111
_cell_length_b 9.111
_cell_length_c 6.233
_cell_angle_alpha 90.00
_cell_angle_beta 90.00
_cell_angle_gamma 90.00
loop_
_atom_site_label
_atom_site_type_symbol
_atom_site_fract_x
_atom_site_fract_y
_atom_site_fract_z
_atom_site_occupancy
Sb1 Sb 0.068 0.259 0.000 1
Te1 Te 0.074 0.283 0.500 1